Entry 1:
Below is crystalline ThIn2Hg at its relaxed geometry, with properties calculated at the GGA-PBE level.

abc: 4.735 4.735 4.712
angles: 90.00 90.00 90.00
Space group P4/mmm (No. 123)
One atom of each set of equivalent atoms:
Th: 0.000 0.000 0.000 (multiplicity 1)
In: 0.000 0.500 0.500 (multiplicity 2)
Hg: 0.500 0.500 0.000 (multiplicity 1)

Results
DFT total energy ... -3.606 eV per atom



Entry 2:
Below is crystalline ThInHg at its relaxed geometry, with properties calculated at the GGA-PBE level.

abc: 7.099 7.099 7.099
angles: 90.00 90.00 90.00
Space group F-43m (No. 216)
One atom of each set of equivalent atoms:
Th: 0.000 0.000 0.000 (multiplicity 4)
In: 0.000 0.000 0.500 (multiplicity 4)
Hg: 0.250 0.250 0.750 (multiplicity 4)

Results
DFT total energy ... -3.607 eV per atom



Entry 3:
Below is crystalline Th2InHg at its relaxed geometry, with properties calculated at the GGA-PBE level.

abc: 3.479 3.479 9.239
angles: 90.00 90.00 90.00
Space group P4/mmm (No. 123)
One atom of each set of equivalent atoms:
Th: 0.000 0.000 0.247 (multiplicity 2)
In: 0.500 0.500 0.500 (multiplicity 1)
Hg: 0.500 0.500 0.000 (multiplicity 1)

Results
DFT total energy ... -4.738 eV per atom



Entry 4:
Below is crystalline Tl2InHg at its relaxed geometry, with properties calculated at the GGA-PBE level.

abc: 7.597 7.597 7.597
angles: 90.00 90.00 90.00
Space group F-43m (No. 216)
One atom of each set of equivalent atoms:
Tl: 0.000 0.000 0.000 (multiplicity 4)
Tl: 0.250 0.250 0.250 (multiplicity 4)
In: 0.000 0.000 0.500 (multiplicity 4)
Hg: 0.250 0.250 0.750 (multiplicity 4)

Results
DFT total energy ... -1.902 eV per atom



Entry 5:
Below is crystalline TmInHg at its relaxed geometry, with properties calculated at the GGA-PBE level.

abc: 6.882 6.882 6.882
angles: 90.00 90.00 90.00
Space group F-43m (No. 216)
One atom of each set of equivalent atoms:
Tm: 0.000 0.000 0.000 (multiplicity 4)
In: 0.250 0.250 0.750 (multiplicity 4)
Hg: 0.000 0.000 0.500 (multiplicity 4)

Results
DFT total energy ... -2.681 eV per atom



Entry 6:
Below is crystalline Tm2InHg at its relaxed geometry, with properties calculated at the GGA-PBE level.

abc: 3.675 3.675 7.448
angles: 90.00 90.00 90.00
Space group P4/mmm (No. 123)
One atom of each set of equivalent atoms:
Tm: 0.000 0.000 0.245 (multiplicity 2)
In: 0.500 0.500 0.500 (multiplicity 1)
Hg: 0.500 0.500 0.000 (multiplicity 1)

Results
DFT total energy ... -3.448 eV per atom



Entry 7:
Below is crystalline TmInHg at its relaxed geometry, with properties calculated at the GGA-PBE level.

abc: 7.047 7.047 7.047
angles: 90.00 90.00 90.00
Space group F-43m (No. 216)
One atom of each set of equivalent atoms:
Tm: 0.000 0.000 0.000 (multiplicity 4)
In: 0.250 0.250 0.250 (multiplicity 4)
Hg: 0.250 0.250 0.750 (multiplicity 4)

Results
DFT total energy ... -2.535 eV per atom



Entry 8:
Below is crystalline UInHg at its relaxed geometry, with properties calculated at the GGA-PBE level.

abc: 6.996 6.996 6.996
angles: 90.00 90.00 90.00
Space group F-43m (No. 216)
One atom of each set of equivalent atoms:
U: 0.000 0.000 0.000 (multiplicity 4)
In: 0.000 0.000 0.500 (multiplicity 4)
Hg: 0.250 0.250 0.750 (multiplicity 4)

Results
Relative energy among the computed polymorphs ... 0.00 eV per formula unit